(1)
# Tb2Pr5Nd12

A geometry-optimized Tb2Pr5Nd12 structure (PBE-GGA, Alexandria via LeMat-Bulk).

Output
Formation energy from the elements: 0.16 eV per atom
E above lowest polymorph: 33 meV/atom
Total magnetization: 0.00 μB per cell

POSCAR file:
```
Tb2Pr5Nd12
1.0
-5.3644 2.5693 4.1719
3.9355 -8.4722 3.9521
7.0293 2.4291 7.5426
Tb Pr Nd
2 5 12
Direct
0.7198 0.0000 0.0000
0.2802 0.0000 0.0000
0.1853 0.3705 0.8161
0.3261 0.6522 0.2084
0.0000 0.0000 0.5000
0.6739 0.3478 0.7916
0.8147 0.6295 0.1840
0.9753 0.9506 0.2415
0.0888 0.6819 0.8667
0.5931 0.6819 0.8667
0.0846 0.6666 0.5214
0.5820 0.6666 0.5214
0.5019 0.0039 0.6779
0.4981 0.9961 0.3221
0.9154 0.3334 0.4786
0.4180 0.3334 0.4786
0.9112 0.3181 0.1333
0.4069 0.3181 0.1333
0.0247 0.0494 0.7585
```


(2)
# Tb4Pr4Nd

A geometry-optimized Tb4Pr4Nd structure (PBE-GGA, Alexandria via LeMat-Bulk).

Output
Formation energy from the elements: 0.02 eV per atom
Total magnetization: 0.00 μB per cell

POSCAR file:
```
Tb4Pr4Nd
1.0
-3.0554 -3.6194 -2.0272
4.3324 -4.3016 -5.3969
0.5710 -6.7149 4.5808
Tb Pr Nd
4 4 1
Direct
0.6640 0.3359 0.3360
0.3360 0.6641 0.6640
0.0001 0.6640 0.3359
0.9999 0.3360 0.6641
0.6674 0.6651 0.0001
0.3326 0.3349 0.9999
0.6675 0.9999 0.6651
0.3325 0.0001 0.3349
0.0000 0.0000 0.0000
```


(3)
# Tb2PrNd4

A geometry-optimized Tb2PrNd4 structure (PBE-GGA, Alexandria via LeMat-Bulk).

Output
Formation energy from the elements: 0.08 eV per atom
Total magnetization: 0.00 μB per cell

POSCAR file:
```
Tb2PrNd4
1.0
3.5466 0.0000 -0.5931
-0.2487 5.6611 -1.4870
0.2030 0.1578 12.1138
Tb Pr Nd
2 1 4
Direct
0.2746 0.2747 0.5492
0.7254 0.7253 0.4508
0.0000 0.0000 0.0000
0.0872 0.5873 0.1744
0.9128 0.4127 0.8256
0.3619 0.8619 0.7239
0.6381 0.1381 0.2761
```


(4)
# Tb4Pr5Nd3

A geometry-optimized Tb4Pr5Nd3 structure (PBE-GGA, Alexandria via LeMat-Bulk).

Output
Formation energy from the elements: 0.01 eV per atom
E above lowest polymorph: 0 meV/atom
Total magnetization: 0.00 μB per cell

POSCAR file:
```
Tb4Pr5Nd3
1.0
-4.3764 -5.4022 -2.2236
11.5522 0.5301 -0.0217
-11.4351 -3.0276 5.8448
Tb Pr Nd
4 5 3
Direct
0.9175 0.8320 0.6673
0.8367 0.6701 0.8339
0.1633 0.3299 0.1661
0.0825 0.1680 0.3327
0.3356 0.6674 0.8321
0.5000 0.0000 0.5000
0.7484 0.5015 0.0010
0.2516 0.4985 0.9990
0.6644 0.3326 0.1679
0.5882 0.1693 0.3337
0.0000 0.0000 0.5000
0.4118 0.8307 0.6663
```


(5)
# Tb6Pr2Nd3

A geometry-optimized Tb6Pr2Nd3 structure (PBE-GGA, Alexandria via LeMat-Bulk).

Output
Formation energy from the elements: 0.18 eV per atom
E above lowest polymorph: 0 meV/atom
Total magnetization: 0.00 μB per cell

POSCAR file:
```
Tb6Pr2Nd3
1.0
5.9597 0.0000 1.7821
2.9799 5.4007 0.8910
-1.3187 0.0000 11.7244
Tb Pr Nd
6 2 3
Direct
0.4166 0.6670 0.7498
0.7497 0.0000 0.7503
0.0836 0.3330 0.7498
0.2503 0.0000 0.2497
0.5834 0.3330 0.2502
0.9164 0.6670 0.2502
0.1666 0.6668 0.5000
0.8334 0.3332 0.5000
0.0000 0.0000 0.0000
0.3357 0.3285 0.0000
0.6643 0.6715 0.0000
```


(6)
# Tb2PrNd7

A geometry-optimized Tb2PrNd7 structure (PBE-GGA, Alexandria via LeMat-Bulk).

Output
Formation energy from the elements: 0.37 eV per atom
E above lowest polymorph: 0 meV/atom
Total magnetization: 0.00 μB per cell

POSCAR file:
```
Tb2PrNd7
1.0
3.5275 0.0000 0.0000
0.0000 10.1296 -2.8002
0.0000 -0.6998 10.4862
Tb Pr Nd
2 1 7
Direct
0.5000 0.8307 0.1693
0.5000 0.1693 0.8307
0.0000 0.0000 0.0000
0.0000 0.6765 0.3235
0.0000 0.3235 0.6765
0.5000 0.1254 0.3875
0.5000 0.8746 0.6125
0.5000 0.3875 0.1254
0.5000 0.6125 0.8746
0.5000 0.5000 0.5000
```


(7)
# Tb2Pr3Nd

A geometry-optimized Tb2Pr3Nd structure (PBE-GGA, Alexandria via LeMat-Bulk).

Output
Formation energy from the elements: 0.01 eV per atom
E above lowest polymorph: 0 meV/atom
Total magnetization: 0.00 μB per cell

POSCAR file:
```
Tb2Pr3Nd
1.0
7.3152 0.0001 -0.0002
-3.6574 4.5206 -2.5148
-0.0003 0.8249 12.1076
Tb Pr Nd
4 6 2
Direct
0.2088 0.6673 0.4176
0.4586 0.6673 0.9176
0.5414 0.3327 0.0824
0.7912 0.3327 0.5824
0.3753 0.9999 0.7500
0.6247 0.0001 0.2500
0.9585 0.6667 0.9163
0.2917 0.3333 0.5837
0.7083 0.6667 0.4163
0.0415 0.3333 0.0837
0.1247 0.0000 0.2500
0.8753 0.0000 0.7500
```


(8)
# TbPr4Nd5

A geometry-optimized TbPr4Nd5 structure (PBE-GGA, Alexandria via LeMat-Bulk).

Output
Formation energy from the elements: 0.17 eV per atom
Total magnetization: 0.00 μB per cell

POSCAR file:
```
TbPr4Nd5
1.0
5.9422 0.0000 0.0000
0.0000 10.8909 0.0000
0.0000 0.0000 10.8913
Tb Pr Nd
2 8 10
Direct
0.6395 0.0000 0.0000
0.3605 0.5000 0.5000
0.6313 0.0000 0.7051
0.6313 0.7051 0.0000
0.6313 0.2949 0.0000
0.6313 0.0000 0.2949
0.3687 0.5000 0.2051
0.3687 0.7949 0.5000
0.3687 0.2051 0.5000
0.3687 0.5000 0.7949
0.1634 0.8387 0.8387
0.1634 0.1613 0.8387
0.0000 0.5000 0.0000
0.1634 0.8387 0.1613
0.1634 0.1613 0.1613
0.8366 0.6613 0.3387
0.8366 0.3387 0.3387
0.0000 0.0000 0.5000
0.8366 0.3387 0.6613
0.8366 0.6613 0.6613
```


(9)
# Tb3Pr2Nd5

A geometry-optimized Tb3Pr2Nd5 structure (PBE-GGA, Alexandria via LeMat-Bulk).

Output
Formation energy from the elements: 0.36 eV per atom
E above lowest polymorph: 181 meV/atom
Total magnetization: 0.00 μB per cell

POSCAR file:
```
Tb3Pr2Nd5
1.0
6.9098 0.0000 0.0000
3.4549 11.7473 2.9492
3.4549 5.9609 10.5435
Tb Pr Nd
6 4 10
Direct
0.2500 0.0000 0.0000
0.7500 0.0000 0.0000
0.3807 0.3670 0.8716
0.6193 0.6330 0.1284
0.8807 0.8716 0.3670
0.1193 0.1284 0.6330
0.1210 0.7793 0.9787
0.8790 0.2207 0.0213
0.6210 0.9787 0.7793
0.3790 0.0213 0.2207
0.2500 0.5000 0.5000
0.7500 0.5000 0.5000
0.4974 0.7526 0.7526
0.0026 0.2474 0.2474
0.5026 0.2474 0.2474
0.9974 0.7526 0.7526
0.1274 0.4650 0.2801
0.8726 0.5350 0.7199
0.6274 0.2801 0.4650
0.3726 0.7199 0.5350
```


(10)
# Tb14PrNd

A geometry-optimized Tb14PrNd structure (PBE-GGA, Alexandria via LeMat-Bulk).

Output
Formation energy from the elements: 0.00 eV per atom
Total magnetization: 0.00 μB per cell

POSCAR file:
```
Tb14PrNd
1.0
7.1287 -0.8577 0.0000
-2.8122 6.6065 0.0000
0.0000 0.0000 11.5740
Tb Pr Nd
14 1 1
Direct
0.0416 0.9584 0.0000
0.5416 0.4584 0.0000
0.2082 0.2917 0.5000
0.0419 0.4580 0.0000
0.7083 0.7918 0.5000
0.5420 0.9581 0.0000
0.3749 0.1253 0.7533
0.3749 0.1253 0.2467
0.8747 0.6251 0.7533
0.8747 0.6251 0.2467
0.3753 0.6247 0.7518
0.3753 0.6247 0.2482
0.8752 0.1248 0.7515
0.8752 0.1248 0.2485
0.2080 0.7920 0.5000
0.7081 0.2919 0.5000
```


(11)
# Tb4Pr2Nd7

A geometry-optimized Tb4Pr2Nd7 structure (PBE-GGA, Alexandria via LeMat-Bulk).

Output
Formation energy from the elements: 0.16 eV per atom
Total magnetization: 0.00 μB per cell

POSCAR file:
```
Tb4Pr2Nd7
1.0
6.2526 0.0000 -0.0001
-3.1263 5.4149 0.0000
0.0000 0.0000 13.3358
Tb Pr Nd
4 2 7
Direct
0.0000 0.0000 0.6069
0.0000 0.0000 0.3931
0.6667 0.3333 0.5000
0.3333 0.6667 0.5000
0.6667 0.3333 0.0000
0.3333 0.6667 0.0000
0.0000 0.6302 0.7755
0.0000 0.3698 0.2245
0.0000 0.0000 0.0000
0.6302 0.0000 0.7755
0.3698 0.0000 0.2245
0.6302 0.6302 0.2245
0.3698 0.3698 0.7755
```


(12)
# Tb5Pr4Nd3

A geometry-optimized Tb5Pr4Nd3 structure (PBE-GGA, Alexandria via LeMat-Bulk).

Output
Formation energy from the elements: 0.21 eV per atom
E above lowest polymorph: 194 meV/atom
Total magnetization: 0.07 μB per cell

POSCAR file:
```
Tb5Pr4Nd3
1.0
-0.6285 0.0255 6.0131
-7.5655 -3.6380 2.2641
7.0053 -5.8063 3.7964
Tb Pr Nd
5 4 3
Direct
0.6257 0.9459 0.8028
0.5000 0.5000 0.5000
0.2161 0.4557 0.1121
0.7839 0.5443 0.8879
0.3743 0.0541 0.1972
0.8602 0.2238 0.0558
0.1699 0.0408 0.6195
0.8301 0.9592 0.3805
0.1398 0.7762 0.9442
0.5216 0.6881 0.2688
0.0000 0.5000 0.5000
0.4784 0.3119 0.7312
```


(13)
# Tb5PrNd6

A geometry-optimized Tb5PrNd6 structure (PBE-GGA, Alexandria via LeMat-Bulk).

Output
Formation energy from the elements: 0.02 eV per atom
E above lowest polymorph: 3 meV/atom
Total magnetization: 0.00 μB per cell

POSCAR file:
```
Tb5PrNd6
1.0
-2.4114 2.9028 3.4977
-2.3113 -8.4179 5.3792
8.9460 3.4717 -0.4916
Pr Nd Tb
1 6 5
Direct
0.0000 0.0000 0.0000
0.8332 0.5819 0.6663
0.8331 0.0843 0.6663
0.5001 0.7478 0.0000
0.4999 0.2522 0.0000
0.1669 0.9157 0.3337
0.1668 0.4181 0.3337
0.6676 0.1676 0.3351
0.3333 0.3333 0.6665
0.0000 0.5000 0.0000
0.6667 0.6667 0.3335
0.3324 0.8324 0.6649
```


(14)
# Tb3Pr4Nd4

A geometry-optimized Tb3Pr4Nd4 structure (PBE-GGA, Alexandria via LeMat-Bulk).

Output
Formation energy from the elements: 0.13 eV per atom
E above lowest polymorph: 0 meV/atom
Total magnetization: 0.00 μB per cell

POSCAR file:
```
Tb3Pr4Nd4
1.0
3.6252 0.0000 -0.6677
-0.8658 8.3500 -4.7003
0.3589 1.3182 12.1224
Tb Pr Nd
3 4 4
Direct
0.8932 0.8932 0.7864
0.1068 0.1068 0.2136
0.0000 0.5000 0.0000
0.7385 0.2385 0.4770
0.2615 0.7615 0.5230
0.5000 0.8134 0.0000
0.5000 0.1866 0.0000
0.6428 0.4684 0.2856
0.3572 0.1828 0.7144
0.3572 0.5316 0.7144
0.6428 0.8172 0.2856
```


(15)
# Tb4Pr5Nd2

A geometry-optimized Tb4Pr5Nd2 structure (PBE-GGA, Alexandria via LeMat-Bulk).

Output
Formation energy from the elements: 0.07 eV per atom
E above lowest polymorph: 0 meV/atom
Total magnetization: 0.00 μB per cell

POSCAR file:
```
Tb4Pr5Nd2
1.0
-1.3776 -3.2383 0.6829
-2.3044 -1.4470 -11.5092
8.9292 -2.0031 -0.8952
Tb Pr Nd
4 5 2
Direct
0.3600 0.2020 0.7200
0.9672 0.7404 0.9344
0.6400 0.7980 0.2800
0.0328 0.2596 0.0656
0.9043 0.4639 0.8086
0.0957 0.5361 0.1914
0.8238 0.9291 0.6476
0.5000 0.0000 0.0000
0.1762 0.0709 0.3524
0.7164 0.3529 0.4329
0.2836 0.6471 0.5671
```


(16)
# Tb2Pr5Nd

A geometry-optimized Tb2Pr5Nd structure (PBE-GGA, Alexandria via LeMat-Bulk).

Output
Formation energy from the elements: 0.01 eV per atom
E above lowest polymorph: 0 meV/atom
Total magnetization: 0.00 μB per cell

POSCAR file:
```
Tb2Pr5Nd
1.0
-1.6471 -4.8998 0.4780
6.3678 -2.4078 -2.7395
5.6149 -0.5658 13.5491
Tb Pr Nd
4 10 2
Direct
0.5000 0.2499 0.6247
0.5000 0.7501 0.3753
0.5000 0.2501 0.1247
0.5000 0.7499 0.8753
0.0000 0.0000 0.0000
0.0000 0.5000 0.5000
0.0000 0.4998 0.7503
0.0000 0.5002 0.2497
0.0000 0.0002 0.2503
0.0000 0.9998 0.7497
0.5000 0.2503 0.8752
0.5000 0.7497 0.1248
0.5000 0.2497 0.3752
0.5000 0.7503 0.6248
0.0000 0.0000 0.5000
0.0000 0.5000 0.0000
```


(17)
# Tb4Pr3Nd4

A geometry-optimized Tb4Pr3Nd4 structure (PBE-GGA, Alexandria via LeMat-Bulk).

Output
Formation energy from the elements: 0.13 eV per atom
E above lowest polymorph: 0 meV/atom
Total magnetization: 0.00 μB per cell

POSCAR file:
```
Tb4Pr3Nd4
1.0
3.5845 0.0000 -0.6602
-0.8601 8.2956 -4.6697
0.3931 1.3982 12.1941
Tb Pr Nd
4 3 4
Direct
0.7409 0.2409 0.4818
0.2591 0.7591 0.5182
0.5000 0.8174 0.0000
0.5000 0.1826 0.0000
0.8914 0.8914 0.7828
0.1086 0.1086 0.2172
0.0000 0.5000 0.0000
0.6462 0.4688 0.2924
0.3538 0.1764 0.7076
0.3538 0.5312 0.7076
0.6462 0.8236 0.2924
```


(18)
# TbPr3Nd4

A geometry-optimized TbPr3Nd4 structure (PBE-GGA, Alexandria via LeMat-Bulk).

Output
Formation energy from the elements: 0.01 eV per atom
Total magnetization: 0.00 μB per cell

POSCAR file:
```
TbPr3Nd4
1.0
-6.9636 -0.9271 2.1905
2.3754 -2.8362 6.3510
0.0625 9.5057 4.2217
Pr Nd Tb
6 8 2
Direct
0.0001 0.3104 0.0000
0.2521 0.0606 0.7499
0.7479 0.5606 0.7501
0.9999 0.8104 0.5000
0.7479 0.5606 0.2499
0.2521 0.0606 0.2501
0.0002 0.8108 0.0000
0.5002 0.3104 0.0000
0.7478 0.0606 0.7498
0.2522 0.5606 0.7502
0.4998 0.8104 0.5000
0.9998 0.3108 0.5000
0.2522 0.5606 0.2498
0.7478 0.0606 0.2502
0.5002 0.8107 0.0000
0.4998 0.3107 0.5000
```


(19)
# TbPr7Nd2

A geometry-optimized TbPr7Nd2 structure (PBE-GGA, Alexandria via LeMat-Bulk).

Output
Formation energy from the elements: 0.16 eV per atom
E above lowest polymorph: 0 meV/atom
Total magnetization: 0.00 μB per cell

POSCAR file:
```
TbPr7Nd2
1.0
-3.1841 1.1172 0.9000
-6.3443 -11.4583 -8.2212
5.8752 6.4646 12.7602
Tb Pr Nd
1 7 2
Direct
0.0000 0.0000 0.0000
0.0000 0.6899 0.3100
0.0000 0.3101 0.6900
0.5000 0.1431 0.3414
0.5000 0.8569 0.6586
0.5000 0.3414 0.1431
0.5000 0.6586 0.8569
0.5000 0.5000 0.5000
0.5000 0.7936 0.2064
0.5000 0.2064 0.7936
```


(20)
# Tb5PrNd5

A geometry-optimized Tb5PrNd5 structure (PBE-GGA, Alexandria via LeMat-Bulk).

Output
Formation energy from the elements: 0.25 eV per atom
E above lowest polymorph: 103 meV/atom
Total magnetization: 0.37 μB per cell

POSCAR file:
```
Tb5PrNd5
1.0
6.0706 0.0000 0.0000
-3.0353 9.5312 0.4035
0.0000 -2.8551 6.4558
Tb Pr Nd
5 1 5
Direct
0.6703 0.3406 0.1718
0.6242 0.2484 0.6261
0.0000 0.0000 0.5000
0.3758 0.7516 0.3739
0.3297 0.6594 0.8282
0.0000 0.0000 0.0000
0.8240 0.6479 0.0677
0.8239 0.6479 0.5794
0.5000 0.0000 0.0000
0.1761 0.3521 0.4206
0.1760 0.3521 0.9323
```